! GGA-PBEsol Y4P, optimized geometry; values from VASP
&SYSTEM
  ibrav = 0, nat = 10, ntyp = 2
/
ATOMIC_SPECIES
Y 88.91 Y.upf
P 30.97 P.upf
ATOMIC_POSITIONS crystal
Y 0.250 0.250 0.250
Y 0.250 0.250 0.750
Y 0.250 0.750 0.250
Y 0.250 0.750 0.750
Y 0.750 0.250 0.250
Y 0.750 0.250 0.750
Y 0.750 0.750 0.250
Y 0.750 0.750 0.750
P 0.000 0.000 0.000
P 0.500 0.500 0.500
CELL_PARAMETERS angstrom
6.559 0.000 0.000
0.000 6.559 0.000
0.000 0.000 6.559
! energy of formation	-0.19	eV/atom
! raw total energy	-6.8080	eV per atom
! DOS at the Fermi energy	1.64	states/eV/atom